1.
ZnP4Os PBE-GGA relaxed; total moment = 0.00 μB/cell; space group = F-43m, No. 216; formation enthalpy at 0 K = 0.957 eV per atom
1.0
0.000 3.508 3.508
3.508 0.000 3.508
3.508 3.508 0.000
Zn P Os
1 4 1
Direct
0.000 0.000 0.000
0.374 0.374 0.374
0.374 0.374 0.879
0.374 0.879 0.374
0.879 0.374 0.374
0.750 0.750 0.750


2.
Be2Cl PBE-GGA relaxed; total moment = 0.00 μB/cell; space group = Cm, No. 8; energy relative to the lowest polymorph listed for this composition = 43.74 kJ/mol of atoms; energy relative to the elements, uncorrected = 0.121 eV/atom
1.0
10.705 0.000 0.000
0.000 2.815 0.000
-4.110 0.000 5.537
Be Cl
8 4
Direct
0.000 0.000 0.000
0.060 0.500 0.556
0.168 0.500 0.341
0.285 0.000 0.694
0.500 0.500 0.000
0.560 0.000 0.556
0.668 0.000 0.341
0.785 0.500 0.694
0.157 0.000 0.847
0.379 0.500 0.346
0.657 0.500 0.847
0.879 0.000 0.346


3.
Cr2MoAu2 PBE-GGA relaxed; total moment = 0.01 μB/cell; space group = P4/mbm, No. 127; energy relative to the lowest polymorph listed for this composition = 0.00 kJ/mol of atoms; formation enthalpy at 0 K = 0.486 eV per atom
1.0
6.149 0.000 0.000
0.000 6.149 0.000
0.000 0.000 4.102
Cr Mo Au
4 2 4
Direct
0.124 0.376 0.000
0.376 0.876 0.000
0.624 0.124 0.000
0.876 0.624 0.000
0.000 0.000 0.000
0.500 0.500 0.000
0.175 0.675 0.500
0.325 0.175 0.500
0.675 0.825 0.500
0.825 0.325 0.500


4.
Tl2In2SnCl6 PBE-GGA relaxed; total moment = 0.00 μB/cell; space group = C2/m, No. 12; energy relative to the elements, uncorrected = -0.933 eV/atom
1.0
4.126 -6.237 0.000
4.126 6.237 0.000
-2.137 0.000 7.543
Tl In Sn Cl
2 2 1 6
Direct
0.186 0.814 0.000
0.814 0.186 0.000
0.353 0.647 0.500
0.647 0.353 0.500
0.000 0.000 0.500
0.041 0.376 0.703
0.186 0.186 0.238
0.376 0.041 0.703
0.624 0.959 0.297
0.814 0.814 0.762
0.959 0.624 0.297


5.
TlCu2Cl6 PBE-GGA relaxed; total moment = 2.15 μB/cell; space group = C2/c, No. 15; energy relative to the elements, uncorrected = -0.552 eV/atom
1.0
6.322 -5.685 0.000
6.322 5.685 0.000
-1.277 0.000 6.663
Tl Cu Cl
2 4 12
Direct
0.111 0.889 0.750
0.889 0.111 0.250
0.246 0.393 0.693
0.393 0.246 0.193
0.607 0.754 0.807
0.754 0.607 0.307
0.051 0.194 0.622
0.132 0.611 0.873
0.194 0.051 0.122
0.280 0.444 0.390
0.389 0.868 0.627
0.444 0.280 0.890
0.556 0.720 0.110
0.611 0.132 0.373
0.720 0.556 0.610
0.806 0.949 0.878
0.868 0.389 0.127
0.949 0.806 0.378


6.
PrMg2Ag9 PBE-GGA relaxed; total moment = 0.00 μB/cell; space group = I4_1/amd, No. 141; energy relative to the lowest polymorph listed for this composition = 0.00 kJ/mol of atoms; formation enthalpy at 0 K = -0.128 eV per atom
1.0
-5.692 5.692 3.698
5.692 -5.692 3.698
5.692 5.692 -3.698
Pr Mg Ag
2 4 18
Direct
0.375 0.625 0.750
0.625 0.375 0.250
0.000 0.000 0.000
0.000 0.000 0.500
0.000 0.500 0.000
0.500 0.000 0.500
0.125 0.875 0.250
0.131 0.556 0.332
0.131 0.800 0.575
0.200 0.275 0.332
0.200 0.869 0.925
0.275 0.200 0.832
0.275 0.444 0.075
0.444 0.275 0.575
0.444 0.869 0.168
0.556 0.131 0.832
0.556 0.725 0.425
0.725 0.556 0.925
0.725 0.800 0.168
0.800 0.131 0.075
0.800 0.725 0.668
0.869 0.200 0.425
0.869 0.444 0.668
0.875 0.125 0.750


7.
Hg2IF PBE-GGA relaxed; total moment = 0.00 μB/cell; space group = I-42d, No. 122; energy relative to the lowest polymorph listed for this composition = 0.36 kJ/mol of atoms; energy relative to the elements, uncorrected = -0.463 eV/atom
1.0
5.379 0.000 0.000
0.000 5.379 0.000
0.000 0.000 16.352
Hg I F
8 4 4
Direct
0.124 0.250 0.125
0.250 0.624 0.375
0.250 0.876 0.875
0.376 0.250 0.625
0.624 0.750 0.625
0.750 0.124 0.875
0.750 0.376 0.375
0.876 0.750 0.125
0.000 0.000 0.500
0.000 0.500 0.750
0.500 0.000 0.250
0.500 0.500 0.000
0.000 0.000 0.000
0.000 0.500 0.250
0.500 0.000 0.750
0.500 0.500 0.500


8.
TlRe2Au PBE-GGA relaxed; total moment = 0.00 μB/cell; space group = Cmmm, No. 65; energy relative to the lowest polymorph listed for this composition = 60.22 kJ/mol of atoms; formation enthalpy at 0 K = 1.029 eV per atom
1.0
2.959 0.000 0.000
0.000 4.850 0.000
0.000 0.000 9.840
Tl Re Au
2 4 2
Direct
0.000 0.000 0.000
0.500 0.500 0.000
0.000 0.500 0.256
0.000 0.500 0.744
0.500 0.000 0.256
0.500 0.000 0.744
0.000 0.000 0.500
0.500 0.500 0.500


9.
PdS2Cl6 PBE-GGA relaxed; total moment = 0.70 μB/cell; space group = P-1, No. 2; energy relative to the lowest polymorph listed for this composition = 10.17 kJ/mol of atoms; energy relative to the elements, uncorrected = -0.182 eV/atom
1.0
3.621 0.000 0.000
0.392 8.173 0.000
0.371 2.476 9.325
Pd S Cl
1 2 6
Direct
0.000 0.000 0.000
0.004 0.377 0.567
0.996 0.623 0.433
0.019 0.259 0.408
0.025 0.015 0.755
0.480 0.207 0.964
0.520 0.793 0.036
0.975 0.985 0.245
0.981 0.741 0.592


10.
Ce2HfAu PBE-GGA relaxed; total moment = 0.73 μB/cell; space group = P4/mmm, No. 123; energy relative to the lowest polymorph listed for this composition = 0.00 kJ/mol of atoms; formation enthalpy at 0 K = -0.171 eV per atom
1.0
3.233 0.000 0.000
0.000 3.233 0.000
0.000 0.000 9.396
Ce Hf Au
2 1 1
Direct
0.000 0.000 0.238
0.000 0.000 0.762
0.500 0.500 0.500
0.500 0.500 0.000


11.
Ce5Hf2S12 PBE-GGA relaxed; total moment = 4.01 μB/cell; space group = C2/m, No. 12; energy relative to the elements, uncorrected = -1.851 eV/atom
1.0
7.789 -3.602 0.000
7.789 3.602 0.000
-2.627 0.000 8.521
Ce Hf S
5 2 12
Direct
0.000 0.000 0.000
0.299 0.299 0.145
0.312 0.312 0.663
0.688 0.688 0.337
0.701 0.701 0.855
0.250 0.750 0.500
0.750 0.250 0.500
0.003 0.003 0.309
0.091 0.570 0.412
0.100 0.599 0.931
0.401 0.900 0.069
0.430 0.909 0.588
0.497 0.497 0.293
0.503 0.503 0.707
0.570 0.091 0.412
0.599 0.100 0.931
0.900 0.401 0.069
0.909 0.430 0.588
0.997 0.997 0.691


12.
TbNdEr5 PBE-GGA relaxed; total moment = 0.00 μB/cell; space group = Immm, No. 71; energy relative to the lowest polymorph listed for this composition = 88.64 kJ/mol of atoms; formation enthalpy at 0 K = 1.118 eV per atom
1.0
5.750 0.000 0.000
0.000 8.592 0.000
0.000 0.000 11.876
Tb Nd Er
2 2 10
Direct
0.000 0.000 0.000
0.500 0.500 0.500
0.000 0.000 0.500
0.500 0.500 0.000
0.000 0.000 0.256
0.000 0.000 0.744
0.000 0.323 0.500
0.000 0.500 0.000
0.000 0.677 0.500
0.500 0.000 0.500
0.500 0.177 0.000
0.500 0.500 0.244
0.500 0.500 0.756
0.500 0.823 0.000


13.
Nd8Ir2Pd PBE-GGA relaxed; total moment = 0.00 μB/cell; space group = C2/m, No. 12; energy relative to the lowest polymorph listed for this composition = 0.00 kJ/mol of atoms; formation enthalpy at 0 K = -0.403 eV per atom
1.0
8.958 -2.538 0.000
8.958 2.538 0.000
-1.184 0.000 6.942
Nd Ir Pd
8 2 1
Direct
0.039 0.039 0.273
0.202 0.202 0.836
0.332 0.332 0.536
0.411 0.411 0.056
0.589 0.589 0.944
0.668 0.668 0.464
0.798 0.798 0.164
0.961 0.961 0.727
0.204 0.204 0.239
0.796 0.796 0.761
0.500 0.500 0.500


14.
MgHg2Cl PBE-GGA relaxed; total moment = 0.00 μB/cell; space group = Pm, No. 6; energy relative to the lowest polymorph listed for this composition = 3.67 kJ/mol of atoms; energy relative to the elements, uncorrected = -0.567 eV/atom
1.0
3.674 0.000 0.000
0.000 3.537 0.000
-0.048 0.000 8.733
Mg Hg Cl
1 2 1
Direct
0.000 0.000 0.000
0.479 0.000 0.472
0.501 0.500 0.177
0.991 0.500 0.811


15.
Sc2BeAu PBE-GGA relaxed; total moment = 0.00 μB/cell; space group = I-42d, No. 122; formation enthalpy at 0 K = 0.257 eV per atom
1.0
4.190 0.000 0.000
0.000 4.190 0.000
0.000 0.000 18.457
Sc Be Au
8 4 4
Direct
0.242 0.250 0.125
0.250 0.742 0.375
0.250 0.758 0.875
0.258 0.250 0.625
0.742 0.750 0.625
0.750 0.242 0.875
0.750 0.258 0.375
0.758 0.750 0.125
0.000 0.000 0.000
0.000 0.500 0.250
0.500 0.000 0.750
0.500 0.500 0.500
0.000 0.000 0.500
0.000 0.500 0.750
0.500 0.000 0.250
0.500 0.500 0.000


16.
Ca2BiIrS PBE-GGA relaxed; total moment = 0.64 μB/cell; space group = P4/mmm, No. 123; energy relative to the elements, uncorrected = 0.283 eV/atom
1.0
5.985 0.000 0.000
0.000 5.985 0.000
0.000 0.000 4.906
Ca Bi Ir S
2 1 1 1
Direct
0.000 0.500 0.000
0.500 0.000 0.000
0.000 0.000 0.000
0.000 0.000 0.500
0.500 0.500 0.500


17.
AlFe2Te PBE-GGA relaxed; total moment = 18.05 μB/cell; space group = F-43m, No. 216; energy relative to the lowest polymorph listed for this composition = 29.59 kJ/mol of atoms; energy relative to the elements, uncorrected = 0.432 eV/atom
1.0
6.347 0.000 0.000
0.000 6.347 0.000
0.000 0.000 6.347
Al Fe Te
4 8 4
Direct
0.000 0.000 0.000
0.000 0.500 0.500
0.500 0.000 0.500
0.500 0.500 0.000
0.000 0.000 0.500
0.000 0.500 0.000
0.250 0.250 0.750
0.250 0.750 0.250
0.500 0.000 0.000
0.500 0.500 0.500
0.750 0.250 0.250
0.750 0.750 0.750
0.250 0.250 0.250
0.250 0.750 0.750
0.750 0.250 0.750
0.750 0.750 0.250


18.
CaTa2Se PBE-GGA relaxed; total moment = 0.45 μB/cell; space group = P4mm, No. 99; energy relative to the elements, uncorrected = -0.054 eV/atom
1.0
3.440 0.000 0.000
0.000 3.440 0.000
0.000 0.000 7.311
Ca Ta Se
1 2 1
Direct
0.000 0.000 0.000
0.000 0.000 0.494
0.500 0.500 0.684
0.500 0.500 0.291


19.
ScMo2Os PBE-GGA relaxed; total moment = 0.00 μB/cell; space group = P2/m, No. 10; energy relative to the lowest polymorph listed for this composition = 10.04 kJ/mol of atoms; formation enthalpy at 0 K = -0.010 eV per atom
1.0
2.829 0.000 0.000
0.000 4.489 0.000
-1.095 0.000 5.087
Sc Mo Os
1 2 1
Direct
0.000 0.000 0.000
0.263 0.500 0.750
0.737 0.500 0.250
0.500 0.000 0.500


20.
TePbBrN2 PBE-GGA relaxed; total moment = 3.00 μB/cell; space group = P4/mmm, No. 123; energy relative to the lowest polymorph listed for this composition = 0.00 kJ/mol of atoms; energy relative to the elements, uncorrected = 1.551 eV/atom
1.0
4.463 0.000 0.000
0.000 4.463 0.000
0.000 0.000 6.634
Te Pb Br N
1 1 1 2
Direct
0.000 0.000 0.000
0.000 0.000 0.500
0.500 0.500 0.000
0.000 0.500 0.500
0.500 0.000 0.500


21.
URe2NiP2 PBE-GGA relaxed; total moment = 4.20 μB/cell; space group = Pmc2_1, No. 26; formation enthalpy at 0 K = -0.356 eV per atom
1.0
3.992 0.000 0.000
0.000 7.939 0.000
0.000 0.000 5.684
U Re Ni P
2 4 2 4
Direct
0.000 0.063 0.000
0.000 0.937 0.500
0.000 0.324 0.433
0.000 0.676 0.933
0.500 0.431 0.077
0.500 0.569 0.577
0.500 0.219 0.705
0.500 0.781 0.205
0.000 0.392 0.832
0.000 0.608 0.332
0.500 0.178 0.315
0.500 0.822 0.815


22.
NiHgTe PBE-GGA relaxed; total moment = 0.00 μB/cell; space group = P2_1/c, No. 14; energy relative to the lowest polymorph listed for this composition = 0.00 kJ/mol of atoms; energy relative to the elements, uncorrected = -0.083 eV/atom
1.0
9.953 0.000 0.000
0.000 6.405 0.000
-1.155 0.000 4.958
Ni Hg Te
4 4 4
Direct
0.003 0.205 0.002
0.003 0.295 0.502
0.997 0.705 0.498
0.997 0.795 0.998
0.416 0.577 0.727
0.416 0.923 0.227
0.584 0.077 0.773
0.584 0.423 0.273
0.145 0.504 0.247
0.145 0.996 0.747
0.855 0.004 0.253
0.855 0.496 0.753


23.
Tl2SnHg PBE-GGA relaxed; total moment = 0.00 μB/cell; space group = R-3m, No. 166; energy relative to the lowest polymorph listed for this composition = 7.49 kJ/mol of atoms; formation enthalpy at 0 K = 0.087 eV per atom
1.0
3.335 0.000 0.000
-1.668 2.888 0.000
0.000 0.000 36.734
Tl Sn Hg
6 3 3
Direct
0.000 0.000 0.089
0.000 0.000 0.911
0.333 0.667 0.578
0.333 0.667 0.755
0.667 0.333 0.245
0.667 0.333 0.422
0.000 0.000 0.000
0.333 0.667 0.667
0.667 0.333 0.333
0.000 0.000 0.500
0.333 0.667 0.167
0.667 0.333 0.833


24.
EuGdRh PBE-GGA relaxed; total moment = 0.00 μB/cell; space group = P3m1, No. 156; energy relative to the lowest polymorph listed for this composition = 8.78 kJ/mol of atoms; formation enthalpy at 0 K = -0.340 eV per atom
1.0
4.396 0.000 0.000
-2.198 3.807 0.000
0.000 0.000 5.054
Eu Gd Rh
1 1 1
Direct
0.000 0.000 0.000
0.333 0.667 0.511
0.667 0.333 0.292